A geometry-optimized Mo3SO structure. Source: Alexandria, functional PBE+U.

abc: 4.199 4.199 4.199
angles: 90.00 90.00 90.00
Element x y z (fractional)
Mo  0.500  0.000  0.000
Mo  0.000  0.000  0.500
Mo  0.000  0.500  0.000
S  0.500  0.500  0.500
O  0.000  0.000  0.000

Results
**Space-group type**: Pm-3m
**Final energy**: -5.22 eV per atom
**DOS(E_F)**: 1.39 states/eV/cell